## ScTaBr (PBE)

Data for a geometry-optimized ScTaBr structure.

Geometry as POSCAR:
```
ScTaBr
1.0
-2.192 3.435 2.465
-1.692 -1.333 -4.248
-1.789 -2.133 1.382
Br Ta Sc
1 1 1
Direct
0.000 0.000 0.833
0.333 0.667 0.833
0.667 0.333 0.334
```

Formation energy without anion corrections (meV/atom): 346
Symmetry: P-6m2, No. 187
Polymorph energy (0 for the lowest one) (meV per atom): 406


## TmCuPd5 (PBE)

Data for a geometry-optimized TmCuPd5 structure.

Geometry as POSCAR:
```
TmCuPd5
1.0
4.303 0.000 0.000
0.000 4.303 0.000
0.000 0.000 6.453
Pd Tm Cu
5 1 1
Direct
0.500 0.000 0.216
0.500 0.000 0.784
0.500 0.500 0.500
0.000 0.500 0.784
0.000 0.500 0.216
0.000 0.000 0.500
0.500 0.500 0.000
```

Symmetry: P4/mmm, No. 123
Polymorph energy (0 for the lowest one) (meV per atom): 0
ΔH_f (0 K) (eV per atom): -0.42


## ErBeTc (PBE)

Data for a geometry-optimized ErBeTc structure.

Geometry as POSCAR:
```
ErBeTc
1.0
3.837 0.000 0.000
0.000 3.273 0.000
0.000 1.637 8.948
Be Tc Er
2 2 2
Direct
0.250 0.520 0.960
0.750 0.480 0.040
0.250 0.245 0.511
0.750 0.755 0.489
0.750 0.108 0.784
0.250 0.892 0.216
```

Symmetry: Cmcm, No. 63
ΔH_f (0 K) (eV per atom): 0.27


| no. | final energy (eV per atom) | magnetization (μB/atom) |
| --- | --- | --- |
| 1 | -6.27 | 0.0400 |
| 2 | -5.35 | 0.0000 |
| 3 | -5.95 | 0.0000 |